This record from Alexandria describes a relaxed Li3Sb crystal. The functional is GGA-PBE.

a b c (Å): 3.2610 4.2720 5.7940
angles (deg): 90.00 90.00 90.00
Atoms (fractional coordinates):
Li  0.0000  0.0000  0.0000
Li  0.5000  0.5000  0.2752
Li  0.5000  0.5000  0.7248
Sb  0.0000  0.0000  0.5000

Values from the calculation:
Formation energy (no corrections), eV/atom: -0.363